(1)
{"formula": "CsPr2CuSe3S", "functional": "PBE-GGA", "state": "relaxed", "polymorph_energy_ev_per_atom": 0.0189, "lattice": [[-7.3022, 1.9948, -1.5513], [5.3284, -5.5777, 0.4518], [-3.6509, -2.3393, 14.1774]], "species": ["Cs", "Cs", "Cu", "Cu", "Pr", "Pr", "Pr", "Pr", "S", "S", "Se", "Se", "Se", "Se", "Se", "Se"], "fractional_positions": [[0.8923, 0.1077, 0.2500], [0.1077, 0.8923, 0.7500], [0.1653, 0.8347, 0.2500], [0.8347, 0.1653, 0.7500], [0.6297, 0.3703, 0.0594], [0.6297, 0.3703, 0.4406], [0.3703, 0.6297, 0.5594], [0.3703, 0.6297, 0.9406], [0.0000, 0.0000, 0.0000], [0.0000, 0.0000, 0.5000], [0.2588, 0.7412, 0.1105], [0.5764, 0.4236, 0.2500], [0.2588, 0.7412, 0.3895], [0.7412, 0.2588, 0.6105], [0.4236, 0.5764, 0.7500], [0.7412, 0.2588, 0.8895]]}

(2)
{"formula": "CsPr2Cu3Se4S", "functional": "PBE-GGA", "state": "relaxed", "total_energy_ev_per_cell": -104.23, "lattice": [[-2.0766, 7.4015, -0.6151], [-1.3223, -6.9701, 3.0235], [10.4337, 4.0903, 13.9924]], "species": ["Cs", "Cs", "Cu", "Cu", "Cu", "Cu", "Cu", "Cu", "Pr", "Pr", "Pr", "Pr", "S", "S", "Se", "Se", "Se", "Se", "Se", "Se", "Se", "Se"], "fractional_positions": [[0.4356, 0.5644, 0.2500], [0.5644, 0.4356, 0.7500], [0.9157, 0.0843, 0.0270], [0.1709, 0.8291, 0.2500], [0.9157, 0.0843, 0.4730], [0.0843, 0.9157, 0.5270], [0.8291, 0.1709, 0.7500], [0.0843, 0.9157, 0.9730], [0.6933, 0.3067, 0.0931], [0.6933, 0.3067, 0.4069], [0.3067, 0.6933, 0.5931], [0.3067, 0.6933, 0.9069], [0.7280, 0.2720, 0.2500], [0.2720, 0.7280, 0.7500], [0.3378, 0.6622, 0.0698], [0.0552, 0.9448, 0.1107], [0.0552, 0.9448, 0.3893], [0.3378, 0.6622, 0.4302], [0.6622, 0.3378, 0.5698], [0.9448, 0.0552, 0.6107], [0.9448, 0.0552, 0.8893], [0.6622, 0.3378, 0.9302]]}

Across the entries above, magnetic moment takes the values 0.00, 0.00 μB/cell, respectively.